Here is SiBC2 after structural relaxation from Alexandria via LeMat-Bulk. Energies are from PBE.

spin magnetization	0.00	μB per cell
energy relative to the elements, uncorrected	31.2	kJ/mol of atoms
VASP energy	-7.3139	eV/atom

CIF file:
```
data_SiBC2
_chemical_formula_sum 'Si1 B1 C2'
_cell_length_a 2.8917
_cell_length_b 2.8917
_cell_length_c 4.8425
_cell_angle_alpha 90.00
_cell_angle_beta 90.00
_cell_angle_gamma 120.00
_symmetry_space_group_name_H-M 'P 3 m 1'
_symmetry_Int_Tables_number 156
loop_
_symmetry_equiv_pos_as_xyz
'x,y,z'
'-y,x-y,z'
'-x+y,-x,z'
'-y,-x,z'
'-x+y,y,z'
'x,x-y,z'
loop_
_atom_site_label
_atom_site_fract_x
_atom_site_fract_y
_atom_site_fract_z
Si1 0.0000 0.0000 0.0000
B1 0.6667 0.3333 0.5088
C1 0.0000 0.0000 0.3879
C2 0.6667 0.3333 0.8386
```



Here is Rb3OsI after structural relaxation from Alexandria via LeMat-Bulk. Energies are from PBE.

spin magnetization	2.00	μB per cell
energy relative to the elements, uncorrected	52.0	kJ/mol of atoms
VASP energy	-2.5973	eV/atom

CIF file:
```
data_Rb3OsI
_chemical_formula_sum 'Rb3 Os1 I1'
_cell_length_a 6.384
_cell_length_b 6.384
_cell_length_c 6.384
_cell_angle_alpha 90.00
_cell_angle_beta 90.00
_cell_angle_gamma 90.00
_symmetry_space_group_name_H-M 'P m -3 m'
_symmetry_Int_Tables_number 221
_symmetry_space_group_name_Hall '-P 4 2 3'
loop_
_atom_site_label
_atom_site_fract_x
_atom_site_fract_y
_atom_site_fract_z
Rb1 0.000 0.000 0.500
Os1 0.000 0.000 0.000
I1 0.500 0.500 0.500
```



Here is Ho2ErB2Rh5 after structural relaxation from Alexandria via LeMat-Bulk. Energies are from PBE.

spin magnetization	0.00	μB per cell
energy relative to the elements	-824.3	meV/atom
VASP energy	-7.2074	eV/atom

CIF file:
```
data_Ho2ErB2Rh5
_chemical_formula_sum 'Ho4 Er2 B4 Rh10'
_cell_length_a 9.791
_cell_length_b 9.791
_cell_length_c 3.244
_cell_angle_alpha 90.00
_cell_angle_beta 90.00
_cell_angle_gamma 90.00
_symmetry_space_group_name_H-M 'P 4/m b m'
_symmetry_Int_Tables_number 127
_symmetry_space_group_name_Hall '-P 4 2ab'
loop_
_atom_site_label
_atom_site_fract_x
_atom_site_fract_y
_atom_site_fract_z
Ho1 0.174 0.326 0.000
Er1 0.000 0.000 0.000
B1 0.121 0.621 0.000
Rh1 0.000 0.500 0.500
Rh2 0.072 0.770 0.500
```



Here is Rb2Na2Ca after structural relaxation from Alexandria via LeMat-Bulk. Energies are from PBE.

spin magnetization	0.00	μB per cell
energy relative to the elements	199.4	meV/atom
VASP energy	-1.1155	eV/atom

CIF file:
```
data_Rb2Na2Ca
_chemical_formula_sum 'Rb4 Na4 Ca2'
_cell_length_a 11.426
_cell_length_b 11.426
_cell_length_c 4.232
_cell_angle_alpha 90.00
_cell_angle_beta 90.00
_cell_angle_gamma 90.00
_symmetry_space_group_name_H-M 'P 4/m b m'
_symmetry_Int_Tables_number 127
_symmetry_space_group_name_Hall '-P 4 2ab'
loop_
_atom_site_label
_atom_site_fract_x
_atom_site_fract_y
_atom_site_fract_z
Rb1 0.135 0.365 0.000
Na1 0.169 0.669 0.500
Ca1 0.000 0.000 0.000
```



Here is Ba2CaCdO4 after structural relaxation from Alexandria via LeMat-Bulk. Energies are from PBE.

spin magnetization	0.00	μB per cell
energy relative to the elements, uncorrected	-206.4	kJ/mol of atoms
VASP energy	-5.4635	eV/atom

CIF file:
```
data_Ba2CaCdO4
_chemical_formula_sum 'Ba8 Ca4 Cd4 O16'
_cell_length_a 7.285
_cell_length_b 7.419
_cell_length_c 10.493
_cell_angle_alpha 90.00
_cell_angle_beta 90.00
_cell_angle_gamma 90.00
_symmetry_space_group_name_H-M 'I m m a'
_symmetry_Int_Tables_number 74
_symmetry_space_group_name_Hall '-I 2b 2'
loop_
_atom_site_label
_atom_site_fract_x
_atom_site_fract_y
_atom_site_fract_z
Ba1 0.000 0.000 0.000
Ba2 0.250 0.250 0.250
Ca1 0.250 0.250 0.750
Cd1 0.000 0.000 0.500
O1 0.000 0.022 0.745
O2 0.231 0.250 0.510
```



Here is Ac2TbTe2As2 after structural relaxation from Alexandria via LeMat-Bulk. Energies are from PBE.

spin magnetization	0.00	μB per cell
energy relative to the elements, uncorrected	-118.1	kJ/mol of atoms
VASP energy	-5.2855	eV/atom

CIF file:
```
data_Ac2TbTe2As2
_chemical_formula_sum 'Ac4 Tb2 Te4 As4'
_cell_length_a 5.308
_cell_length_b 5.308
_cell_length_c 16.958
_cell_angle_alpha 90.00
_cell_angle_beta 90.00
_cell_angle_gamma 90.00
_symmetry_space_group_name_H-M 'I 4/m m m'
_symmetry_Int_Tables_number 139
_symmetry_space_group_name_Hall '-I 4 2'
loop_
_atom_site_label
_atom_site_fract_x
_atom_site_fract_y
_atom_site_fract_z
Ac1 0.000 0.000 0.123
Tb1 0.000 0.000 0.500
Te1 0.000 0.000 0.318
As1 0.000 0.500 0.000
```